No. 1
Material: Na4Hf2Ge3O12
Method: DFT, PBE
State: optimized geometry

V   13.44 Å³ per atom
Total DFT energy (no corrections)   -6.97 eV per atom

abc: 9.1678 9.1678 9.1678
angles: 61.60 61.60 61.60
Positions (direct):
Na  0.0000  0.0000  0.0000
Na  0.1272  0.7500  0.3728
Na  0.2500  0.6272  0.8728
Na  0.3728  0.1272  0.7500
Na  0.5000  0.5000  0.5000
Na  0.6272  0.8728  0.2500
Na  0.7500  0.3728  0.1272
Na  0.8728  0.2500  0.6272
Hf  0.1430  0.1430  0.1430
Hf  0.3570  0.3570  0.3570
Hf  0.6430  0.6430  0.6430
Hf  0.8570  0.8570  0.8570
Ge  0.0447  0.4553  0.7500
Ge  0.2500  0.9553  0.5447
Ge  0.4553  0.7500  0.0447
Ge  0.5447  0.2500  0.9553
Ge  0.7500  0.0447  0.4553
Ge  0.9553  0.5447  0.2500
O  0.0121  0.6341  0.7978
O  0.0616  0.2566  0.9220
O  0.0780  0.9384  0.7434
O  0.1341  0.5121  0.2978
O  0.2022  0.9879  0.3659
O  0.2434  0.4384  0.5780
O  0.2566  0.9220  0.0616
O  0.2978  0.1341  0.5121
O  0.3659  0.2022  0.9879
O  0.4220  0.7566  0.5616
O  0.4384  0.5780  0.2434
O  0.4879  0.7022  0.8659
O  0.5121  0.2978  0.1341
O  0.5616  0.4220  0.7566
O  0.5780  0.2434  0.4384
O  0.6341  0.7978  0.0121
O  0.7022  0.8659  0.4879
O  0.7434  0.0780  0.9384
O  0.7566  0.5616  0.4220
O  0.7978  0.0121  0.6341
O  0.8659  0.4879  0.7022
O  0.9220  0.0616  0.2566
O  0.9384  0.7434  0.0780
O  0.9879  0.3659  0.2022

=====

No. 2
Material: Hf2Nb3Ge4
Method: DFT, PBE
State: optimized geometry

V   17.50 Å³ per atom
Total DFT energy (no corrections)   -8.27 eV per atom

abc: 6.8280 13.2440 6.9685
angles: 90.00 90.00 90.00
Positions (direct):
Hf  0.0128  0.0907  0.1747
Hf  0.0128  0.4093  0.1747
Hf  0.4872  0.5907  0.6747
Hf  0.4872  0.9093  0.6747
Hf  0.5128  0.0907  0.3253
Hf  0.5128  0.4093  0.3253
Hf  0.9872  0.5907  0.8253
Hf  0.9872  0.9093  0.8253
Nb  0.1584  0.6243  0.3348
Nb  0.1584  0.8757  0.3348
Nb  0.1662  0.2500  0.5064
Nb  0.3338  0.7500  0.0064
Nb  0.3416  0.1243  0.8348
Nb  0.3416  0.3757  0.8348
Nb  0.6584  0.6243  0.1652
Nb  0.6584  0.8757  0.1652
Nb  0.6662  0.2500  0.9936
Nb  0.8338  0.7500  0.4936
Nb  0.8416  0.1243  0.6652
Nb  0.8416  0.3757  0.6652
Ge  0.0397  0.2500  0.8886
Ge  0.1841  0.0405  0.5382
Ge  0.1841  0.4595  0.5382
Ge  0.1909  0.7500  0.6520
Ge  0.3091  0.2500  0.1520
Ge  0.3159  0.5405  0.0382
Ge  0.3159  0.9595  0.0382
Ge  0.4603  0.7500  0.3886
Ge  0.5397  0.2500  0.6114
Ge  0.6841  0.0405  0.9618
Ge  0.6841  0.4595  0.9618
Ge  0.6909  0.7500  0.8480
Ge  0.8091  0.2500  0.3480
Ge  0.8159  0.5405  0.4618
Ge  0.8159  0.9595  0.4618
Ge  0.9603  0.7500  0.1114

=====

No. 3
Material: Hf2NbGe2
Method: DFT, PBE
State: optimized geometry

V   18.15 Å³ per atom
Excess energy over the best structure of this formula in the dataset   0.0 meV/atom

abc: 6.9522 6.9522 3.7544
angles: 90.00 90.00 90.00
Positions (direct):
Hf  0.1732  0.3268  0.0000
Hf  0.3268  0.8268  0.0000
Hf  0.6732  0.1732  0.0000
Hf  0.8268  0.6732  0.0000
Nb  0.0000  0.0000  0.5000
Nb  0.5000  0.5000  0.5000
Ge  0.1302  0.6302  0.5000
Ge  0.3698  0.1302  0.5000
Ge  0.6302  0.8698  0.5000
Ge  0.8698  0.3698  0.5000